PmPtPbAu | GGA-PBE | optimized geometry

```
PmPtPbAu
1.0
5.054 0.000 0.000
2.527 4.376 0.000
2.527 1.459 4.126
Pm Pt Au Pb
1 1 1 1
direct
0.500 0.500 0.500 Pm
0.250 0.250 0.250 Pt
0.750 0.750 0.750 Au
0.000 0.000 0.000 Pb
```

Summary:
E_form (meV per atom): -653
Volume (Å³/atom): 22.81
SG: F-43m (216)
Density (Mg/m³): 13.54
Final energy (eV for the cell shown): -20.39

=====

V2AgBiP | GGA-PBE | optimized geometry

```
V2AgBiP
1.0
-3.693 -2.580 2.197
3.357 -3.801 1.181
1.019 2.254 4.360
Bi Ag V P
1 1 2 1
direct
0.000 0.500 0.000 Bi
0.000 0.000 0.000 Ag
0.500 0.000 0.000 V
0.000 0.000 0.500 V
0.500 0.500 0.500 P
```

Summary:
E_form (meV per atom): 1504
Volume (Å³/atom): 26.17
SG: P4/mmm (123)
Density (Mg/m³): 5.71
Final energy (eV for the cell shown): -22.86

=====

BaLi3Al | GGA-PBE | optimized geometry

```
BaLi3Al
1.0
5.647 0.000 0.000
0.000 5.647 0.000
0.000 0.000 5.647
Ba Li Al
1 3 1
direct
0.000 0.000 0.000 Ba
0.500 0.000 0.000 Li
0.000 0.500 0.000 Li
0.000 0.000 0.500 Li
0.500 0.500 0.500 Al
```

Summary:
E_form (meV per atom): 1117
Volume (Å³/atom): 36.01
Energy above the most stable polymorph in this dataset (meV/atom): 1106.7
SG: Pm-3m (221)
Density (Mg/m³): 1.71
Final energy (eV for the cell shown): -5.82

=====

NpNbSe2 | GGA-PBE | optimized geometry

```
NpNbSe2
1.0
-2.228 -1.508 2.174
-1.484 -3.006 -0.854
5.668 -6.032 4.374
Se Np Nb
2 1 1
direct
0.908 0.908 0.275 Se
0.092 0.092 0.725 Se
0.500 0.500 0.500 Np
0.000 0.000 0.000 Nb
```

Summary:
Volume (Å³/atom): 23.70
SG: R-3m (166)
Density (Mg/m³): 8.55
Final energy (eV for the cell shown): -30.32

=====

Tl2As2Pd3 | GGA-PBE | optimized geometry

```
Tl2As2Pd3
1.0
3.637 -0.019 0.015
-1.782 6.498 2.288
0.036 1.068 6.710
As Pd Tl
2 3 2
direct
0.401 0.797 0.902 As
0.599 0.203 0.098 As
0.000 0.000 0.000 Pd
0.767 0.537 0.155 Pd
0.233 0.463 0.845 Pd
0.128 0.264 0.522 Tl
0.872 0.736 0.478 Tl
```

Summary:
E_form (meV per atom): -223
Volume (Å³/atom): 21.35
SG: P-1 (2)
Density (Mg/m³): 9.75
Final energy (eV for the cell shown): -31.17

=====

MnPt2Br | GGA-PBE | optimized geometry

```
MnPt2Br
1.0
-2.448 1.177 -4.256
-4.921 -1.023 0.474
3.227 2.591 2.892
Br Mn Pt
1 1 2
direct
0.500 0.500 0.000 Br
0.750 0.250 0.500 Mn
0.250 0.750 0.500 Pt
0.000 0.000 0.000 Pt
```

Summary:
Volume (Å³/atom): 17.26
Energy above the most stable polymorph in this dataset (meV/atom): 360.7
SG: I-4m2 (119)
Density (Mg/m³): 12.63
Final energy (eV for the cell shown): -21.28

=====

La2HgSbPb | GGA-PBE | optimized geometry

```
La2HgSbPb
1.0
-0.563 -1.354 -5.868
-3.722 -4.179 1.321
-4.576 3.928 -0.468
La Pb Sb Hg
2 1 1 1
direct
0.000 0.000 0.500 La
0.500 0.000 0.000 La
0.000 0.500 0.000 Pb
0.000 0.000 0.000 Sb
0.500 0.500 0.500 Hg
```

Summary:
Volume (Å³/atom): 42.07
SG: P4/mmm (123)
Density (Mg/m³): 6.37
Final energy (eV for the cell shown): -18.00

=====

Li4TlPt | GGA-PBE | optimized geometry

```
Li4TlPt
1.0
4.414 -1.757 -1.619
1.007 -4.908 0.293
0.218 -2.771 -4.179
Tl Li Pt
1 4 1
direct
0.000 0.000 0.000 Tl
0.377 0.869 0.377 Li
0.377 0.377 0.377 Li
0.377 0.377 0.869 Li
0.869 0.377 0.377 Li
0.750 0.750 0.750 Pt
```

Summary:
E_form (meV per atom): -202
Volume (Å³/atom): 14.90
Energy above the most stable polymorph in this dataset (meV/atom): 128.0
SG: F-43m (216)
Density (Mg/m³): 7.93
Final energy (eV for the cell shown): -17.28